Arrangement P

An optimized crystal structure of CaBe2Tc. Source: Alexandria via LeMat-Bulk, functional PBE.

Unit cell a=3.402 b=5.778 c=5.778 alpha=33.80 beta=90.00 gamma=90.00
Fractional positions:
Ca1 0.000 0.000 0.000
Be1 0.000 0.242 0.242
Be2 0.500 0.351 0.351
Tc1 0.500 0.716 0.716

## Properties
**M_tot**: 0.0 μB per cell

Arrangement Q

An optimized crystal structure of CaBe2Tc. Source: Alexandria via LeMat-Bulk, functional PBE.

Unit cell a=5.005 b=5.005 c=5.005 alpha=136.52 beta=136.52 gamma=63.18
Fractional positions:
Ca1 0.000 0.000 0.000
Be1 0.500 0.500 0.000
Be2 0.750 0.250 0.500
Tc1 0.250 0.750 0.500

## Properties
**M_tot**: 0.0 μB per cell

Arrangement R

An optimized crystal structure of CaBe2Tc. Source: Alexandria via LeMat-Bulk, functional PBE.

Unit cell a=5.291 b=5.291 c=5.291 alpha=150.33 beta=127.29 gamma=61.65
Fractional positions:
Ca1 0.000 0.000 0.000
Be1 0.517 0.517 0.000
Be2 0.718 0.218 0.500
Tc1 0.297 0.797 0.500

## Properties
**M_tot**: 0.0 μB per cell

Arrangement S

An optimized crystal structure of CaBe2Tc. Source: Alexandria via LeMat-Bulk, functional PBE.

Unit cell a=4.372 b=4.372 c=4.372 alpha=60.00 beta=60.00 gamma=60.00
Fractional positions:
Ca1 0.000 0.000 0.000
Be1 0.250 0.250 0.250
Be2 0.500 0.500 0.500
Tc1 0.750 0.750 0.750

## Properties
**M_tot**: 0.0 μB per cell

Most stable: arrangement P. Least stable: arrangement S.

Arrangement P

An optimized crystal structure of CaBe2Tc. Source: Alexandria via LeMat-Bulk, functional PBE.

Unit cell a=4.345 b=4.345 c=5.730 alpha=95.54 beta=95.54 gamma=35.28
Fractional positions:
Ca1 0.000 0.000 0.000
Be1 0.238 0.238 0.652
Be2 0.762 0.762 0.348
Tc1 0.500 0.500 0.500

## Properties
**M_tot**: 0.0 μB per cell

Arrangement Q

An optimized crystal structure of CaBe2Tc. Source: Alexandria via LeMat-Bulk, functional PBE.

Unit cell a=3.117 b=3.133 c=6.096 alpha=90.00 beta=90.00 gamma=90.00
Fractional positions:
Ca1 0.000 0.000 0.000
Be1 0.500 0.500 0.334
Be2 0.500 0.500 0.666
Tc1 0.000 0.000 0.500

## Properties
**M_tot**: 0.5 μB per cell

Most stable: arrangement Q. Least stable: arrangement P.

Arrangement P

An optimized crystal structure of CaBeTc3. Source: Alexandria via LeMat-Bulk, functional PBE.

Unit cell a=4.327 b=4.327 c=4.327 alpha=90.00 beta=90.00 gamma=90.00
Fractional positions:
Ca1 0.000 0.000 0.000
Be1 0.500 0.500 0.500
Tc1 0.000 0.500 0.500
Tc2 0.500 0.000 0.500
Tc3 0.500 0.500 0.000

## Properties
**M_tot**: 0.0 μB per cell

Arrangement Q

An optimized crystal structure of CaBeTc3. Source: Alexandria via LeMat-Bulk, functional PBE.

Unit cell a=4.577 b=4.577 c=4.577 alpha=90.00 beta=90.00 gamma=90.00
Fractional positions:
Ca1 0.000 0.000 0.000
Be1 0.500 0.500 0.500
Tc1 0.000 0.000 0.500
Tc2 0.000 0.500 0.000
Tc3 0.500 0.000 0.000

## Properties
**M_tot**: 2.8 μB per cell

Most stable: arrangement P. Least stable: arrangement Q.

Arrangement P

An optimized crystal structure of Ca3BeTc. Source: Alexandria via LeMat-Bulk, functional PBE.

Unit cell a=5.368 b=5.368 c=5.368 alpha=90.00 beta=90.00 gamma=90.00
Fractional positions:
Ca1 0.000 0.000 0.500
Ca2 0.000 0.500 0.000
Ca3 0.500 0.000 0.000
Be1 0.000 0.000 0.000
Tc1 0.500 0.500 0.500

## Properties
**M_tot**: 3.0 μB per cell

Arrangement Q

An optimized crystal structure of Ca3BeTc. Source: Alexandria via LeMat-Bulk, functional PBE.

Unit cell a=5.404 b=5.404 c=5.404 alpha=90.00 beta=90.00 gamma=90.00
Fractional positions:
Ca1 0.000 0.000 0.500
Ca2 0.000 0.500 0.000
Ca3 0.500 0.000 0.000
Be1 0.500 0.500 0.500
Tc1 0.000 0.000 0.000

## Properties
**M_tot**: 1.1 μB per cell

Most stable: arrangement Q. Least stable: arrangement P.

Arrangement P

An optimized crystal structure of CaBeTc. Source: Alexandria via LeMat-Bulk, functional PBE.

Unit cell a=4.307 b=4.307 c=4.307 alpha=60.00 beta=60.00 gamma=60.00
Fractional positions:
Ca1 0.000 0.000 0.000
Be1 0.750 0.750 0.750
Tc1 0.500 0.500 0.500

## Properties
**M_tot**: 1.4 μB per cell

Arrangement Q

An optimized crystal structure of CaBeTc. Source: Alexandria via LeMat-Bulk, functional PBE.

Unit cell a=4.557 b=4.557 c=2.792 alpha=90.00 beta=90.00 gamma=120.00
Fractional positions:
Ca1 0.000 0.000 0.000
Be1 0.667 0.333 0.532
Tc1 0.333 0.667 0.457

## Properties
**M_tot**: 0.0 μB per cell

Arrangement R

An optimized crystal structure of CaBeTc. Source: Alexandria via LeMat-Bulk, functional PBE.

Unit cell a=4.574 b=4.574 c=4.574 alpha=60.00 beta=60.00 gamma=60.00
Fractional positions:
Ca1 0.000 0.000 0.000
Be1 0.750 0.750 0.750
Tc1 0.250 0.250 0.250

## Properties
**M_tot**: 2.9 μB per cell

Arrangement S

An optimized crystal structure of CaBeTc. Source: Alexandria via LeMat-Bulk, functional PBE.

Unit cell a=5.610 b=5.610 c=5.610 alpha=147.00 beta=146.81 gamma=47.50
Fractional positions:
Ca1 0.000 0.000 0.000
Be1 0.271 0.271 0.000
Tc1 0.717 0.717 0.000

## Properties
**M_tot**: 0.0 μB per cell

Most stable: arrangement S. Least stable: arrangement R.

Arrangement P

An optimized crystal structure of CaBe3Tc. Source: Alexandria via LeMat-Bulk, functional PBE.

Unit cell a=4.346 b=4.346 c=4.346 alpha=90.00 beta=90.00 gamma=90.00
Fractional positions:
Ca1 0.000 0.000 0.000
Be1 0.000 0.500 0.500
Be2 0.500 0.000 0.500
Be3 0.500 0.500 0.000
Tc1 0.500 0.500 0.500

## Properties
**M_tot**: 0.0 μB per cell

Arrangement Q

An optimized crystal structure of CaBe3Tc. Source: Alexandria via LeMat-Bulk, functional PBE.

Unit cell a=4.289 b=4.289 c=4.289 alpha=90.00 beta=90.00 gamma=90.00
Fractional positions:
Ca1 0.000 0.000 0.000
Be1 0.000 0.000 0.500
Be2 0.000 0.500 0.000
Be3 0.500 0.000 0.000
Tc1 0.500 0.500 0.500

## Properties
**M_tot**: 0.0 μB per cell

Most stable: arrangement P. Least stable: arrangement Q.

Arrangement P

An optimized crystal structure of CaBeTe. Source: Alexandria via LeMat-Bulk, functional PBE.

Unit cell a=11.877 b=3.959 c=6.313 alpha=90.00 beta=90.00 gamma=90.00
Fractional positions:
Ca1 0.072 0.250 0.199
Ca2 0.428 0.750 0.699
Ca3 0.572 0.250 0.301
Ca4 0.928 0.750 0.801
Be1 0.170 0.750 0.913
Be2 0.330 0.250 0.413
Be3 0.670 0.750 0.587
Be4 0.830 0.250 0.087
Te1 0.170 0.250 0.677
Te2 0.330 0.750 0.177
Te3 0.670 0.250 0.823
Te4 0.830 0.750 0.323

## Properties
**M_tot**: 0.0 μB per cell

Arrangement Q

An optimized crystal structure of CaBeTe. Source: Alexandria via LeMat-Bulk, functional PBE.

Unit cell a=4.730 b=4.730 c=4.730 alpha=60.00 beta=60.00 gamma=60.00
Fractional positions:
Ca1 0.000 0.000 0.000
Be1 0.250 0.250 0.250
Te1 0.500 0.500 0.500

## Properties
**M_tot**: 0.0 μB per cell

Arrangement R

An optimized crystal structure of CaBeTe. Source: Alexandria via LeMat-Bulk, functional PBE.

Unit cell a=5.958 b=5.824 c=3.665 alpha=73.87 beta=69.91 gamma=36.23
Fractional positions:
Ca1 0.000 0.000 0.000
Be1 0.300 0.300 0.700
Te1 0.706 0.706 0.294

## Properties
**M_tot**: 0.0 μB per cell

Most stable: arrangement P. Least stable: arrangement Q.

Arrangement P

An optimized crystal structure of CaBeTe. Source: Alexandria via LeMat-Bulk, functional PBE.

Unit cell a=5.039 b=5.039 c=5.039 alpha=60.00 beta=60.00 gamma=60.00
Fractional positions:
Ca1 0.000 0.000 0.000
Be1 0.750 0.750 0.750
Te1 0.250 0.250 0.250

## Properties
**M_tot**: 0.0 μB per cell

Arrangement Q

An optimized crystal structure of CaBeTe. Source: Alexandria via LeMat-Bulk, functional PBE.

Unit cell a=5.870 b=5.870 c=5.870 alpha=143.81 beta=143.81 gamma=52.11
Fractional positions:
Ca1 0.000 0.000 0.000
Be1 0.701 0.701 0.000
Te1 0.293 0.293 0.000

## Properties
**M_tot**: 0.0 μB per cell

Arrangement R

An optimized crystal structure of CaBeTe. Source: Alexandria via LeMat-Bulk, functional PBE.

Unit cell a=3.979 b=3.979 c=5.349 alpha=90.00 beta=90.00 gamma=120.00
Fractional positions:
Ca1 0.000 0.000 0.000
Be1 0.333 0.667 0.650
Te1 0.667 0.333 0.464

## Properties
**M_tot**: 0.0 μB per cell

Most stable: arrangement R. Least stable: arrangement P.

Arrangement P

An optimized crystal structure of Ca2BeTe. Source: Alexandria via LeMat-Bulk, functional PBE.

Unit cell a=5.296 b=5.296 c=5.296 alpha=60.00 beta=60.00 gamma=60.00
Fractional positions:
Ca1 0.250 0.250 0.250
Ca2 0.750 0.750 0.750
Be1 0.000 0.000 0.000
Te1 0.500 0.500 0.500

## Properties
**M_tot**: 0.0 μB per cell

Arrangement Q

An optimized crystal structure of Ca2BeTe. Source: Alexandria via LeMat-Bulk, functional PBE.

Unit cell a=6.476 b=6.476 c=6.476 alpha=145.66 beta=136.55 gamma=56.51
Fractional positions:
Ca1 0.000 0.000 0.000
Ca2 0.722 0.222 0.500
Be1 0.262 0.762 0.500
Te1 0.420 0.420 0.000

## Properties
**M_tot**: 0.0 μB per cell

Most stable: arrangement Q. Least stable: arrangement P.

Arrangement P

An optimized crystal structure of Ca2BeTe. Source: Alexandria via LeMat-Bulk, functional PBE.

Unit cell a=3.680 b=3.680 c=8.271 alpha=90.00 beta=90.00 gamma=90.00
Fractional positions:
Ca1 0.000 0.000 0.000
Ca2 0.500 0.500 0.379
Be1 0.500 0.500 0.754
Te1 0.000 0.000 0.627

## Properties
**M_tot**: 0.0 μB per cell

Arrangement Q

An optimized crystal structure of Ca2BeTe. Source: Alexandria via LeMat-Bulk, functional PBE.

Unit cell a=4.406 b=4.406 c=7.594 alpha=106.60 beta=106.60 gamma=59.64
Fractional positions:
Ca1 0.246 0.246 0.238
Ca2 0.754 0.754 0.762
Be1 0.500 0.500 0.000
Te1 0.000 0.000 0.500

## Properties
**M_tot**: 0.3 μB per cell

Most stable: arrangement Q. Least stable: arrangement P.

Arrangement P

An optimized crystal structure of Ca2BeTe. Source: Alexandria via LeMat-Bulk, functional PBE.

Unit cell a=3.862 b=3.862 c=6.972 alpha=90.00 beta=90.00 gamma=90.00
Fractional positions:
Ca1 0.000 0.000 0.237
Ca2 0.000 0.000 0.763
Be1 0.500 0.500 0.000
Te1 0.500 0.500 0.500

## Properties
**M_tot**: 0.0 μB per cell

Arrangement Q

An optimized crystal structure of Ca2BeTe. Source: Alexandria via LeMat-Bulk, functional PBE.

Unit cell a=5.612 b=5.612 c=5.612 alpha=129.51 beta=129.51 gamma=74.18
Fractional positions:
Ca1 0.250 0.750 0.500
Ca2 0.750 0.250 0.500
Be1 0.000 0.000 0.000
Te1 0.500 0.500 0.000

## Properties
**M_tot**: 0.0 μB per cell

Arrangement R

An optimized crystal structure of Ca2BeTe. Source: Alexandria via LeMat-Bulk, functional PBE.

Unit cell a=4.052 b=6.141 c=6.141 alpha=43.24 beta=90.00 gamma=90.00
Fractional positions:
Ca1 0.000 0.000 0.000
Ca2 0.500 0.294 0.294
Be1 0.000 0.735 0.735
Te1 0.500 0.586 0.586

## Properties
**M_tot**: 0.0 μB per cell

Most stable: arrangement R. Least stable: arrangement Q.